Here is a geometry-optimized CeMgAgAu structure from Alexandria via LeMat-Bulk. Energies are from PBE.

Values from the calculation:
* M_tot: 0.9 μB per formula unit
* space-group type: No. 216
* DFT total energy: -3.833 eV per atom
* formation energy: -0.419 eV per atom

a = 5.0218 Å, b = 5.0218 Å, c = 5.0218 Å
α = 60.00°, β = 60.00°, γ = 60.00°
Sites, in units of the cell vectors:
Ce (0.0000, 0.0000, 0.0000)
Mg (0.5000, 0.5000, 0.5000)
Ag (0.2500, 0.2500, 0.2500)
Au (0.7500, 0.7500, 0.7500)